! TlMoPOsRu GGA-PBE relaxed; values from VASP
! **DFT formation energy**: 0.157 eV per atom
! **Volume**: 17.48 Å³/atom
! **Energy above the lowest structure with this stoichiometry**: 0.100 eV per atom
&SYSTEM
  ibrav = 0, nat = 10, ntyp = 5
/
ATOMIC_SPECIES
Tl 204.38 Tl.upf
Mo 95.94 Mo.upf
P 30.97 P.upf
Os 190.23 Os.upf
Ru 101.07 Ru.upf
CELL_PARAMETERS angstrom
-0.735 -3.469 1.714
3.849 -0.313 1.017
-2.113 5.188 9.598
ATOMIC_POSITIONS crystal
Tl 0.000 0.500 0.636
Tl 0.500 0.000 0.136
Mo 0.000 0.000 0.388
Mo 0.500 0.500 0.888
P 0.000 0.000 0.887
P 0.500 0.500 0.387
Os 0.000 0.500 0.259
Os 0.500 0.000 0.759
Ru 0.000 0.500 0.017
Ru 0.500 0.000 0.517


! KTeOsI2 GGA-PBE relaxed; values from VASP
! **ΔE_f (raw)**: 7.71 eV per formula unit
! **Volume**: 52.42 Å³/atom
! **Energy above the lowest structure with this stoichiometry**: 1.552 eV per atom
&SYSTEM
  ibrav = 0, nat = 5, ntyp = 4
/
ATOMIC_SPECIES
I 126.90 I.upf
K 39.10 K.upf
Te 127.60 Te.upf
Os 190.23 Os.upf
CELL_PARAMETERS angstrom
6.391 0.000 0.000
0.000 6.391 0.000
0.000 0.000 6.418
ATOMIC_POSITIONS crystal
I 0.000 0.500 0.000
I 0.500 0.000 0.000
K 0.000 0.000 0.000
Te 0.000 0.000 0.500
Os 0.500 0.500 0.500


! HoErPdRu GGA-PBE relaxed; values from VASP
! **DFT formation energy**: -0.722 eV per atom
! **Volume**: 20.16 Å³/atom
! **Energy above the lowest structure with this stoichiometry**: 0.000 eV per atom
&SYSTEM
  ibrav = 0, nat = 4, ntyp = 4
/
ATOMIC_SPECIES
Ho 164.93 Ho.upf
Er 167.26 Er.upf
Pd 106.42 Pd.upf
Ru 101.07 Ru.upf
CELL_PARAMETERS angstrom
-1.398 1.203 -2.891
1.099 -2.776 -1.687
-5.864 -3.229 1.493
ATOMIC_POSITIONS crystal
Ho 0.500 0.500 0.097
Er 0.500 0.500 0.617
Pd 0.000 0.000 0.359
Ru 0.000 0.000 0.856


! Nd8BiSe6 GGA-PBE relaxed; values from VASP
! **ΔE_f (raw)**: -21.30 eV per formula unit
! **Volume**: 29.25 Å³/atom
&SYSTEM
  ibrav = 0, nat = 15, ntyp = 3
/
ATOMIC_SPECIES
Nd 144.24 Nd.upf
Bi 208.98 Bi.upf
Se 78.96 Se.upf
CELL_PARAMETERS angstrom
4.262 0.000 0.000
0.000 9.442 -5.451
0.000 0.000 10.903
ATOMIC_POSITIONS crystal
Nd 0.745 0.964 0.294
Nd 0.745 0.706 0.670
Nd 0.745 0.330 0.036
Nd 0.255 0.036 0.706
Nd 0.255 0.294 0.330
Nd 0.255 0.670 0.964
Nd 0.748 0.333 0.667
Nd 0.252 0.667 0.333
Bi 0.500 0.000 0.000
Se 0.752 0.650 0.133
Se 0.752 0.867 0.517
Se 0.752 0.483 0.350
Se 0.248 0.350 0.867
Se 0.248 0.133 0.483
Se 0.248 0.517 0.650


! Ba2Cd6NiAg GGA-PBE relaxed; values from VASP
! **DFT formation energy**: -0.158 eV per atom
! **Volume**: 29.01 Å³/atom
&SYSTEM
  ibrav = 0, nat = 10, ntyp = 4
/
ATOMIC_SPECIES
Ba 137.33 Ba.upf
Cd 112.41 Cd.upf
Ni 58.69 Ni.upf
Ag 107.87 Ag.upf
CELL_PARAMETERS angstrom
-1.851 -1.409 7.061
-2.124 -6.861 -1.922
2.867 -5.900 3.493
ATOMIC_POSITIONS crystal
Ba 0.750 0.250 0.500
Ba 0.250 0.750 0.500
Cd 0.260 0.260 0.480
Cd 0.740 0.740 0.000
Cd 0.260 0.740 0.000
Cd 0.740 0.260 0.000
Cd 0.260 0.260 0.000
Cd 0.740 0.740 0.520
Ni 0.500 0.500 0.000
Ag 0.000 0.000 0.000


! MoHOs GGA-PBE relaxed; values from VASP
! **Volume**: 11.16 Å³/atom
! **Energy above the lowest structure with this stoichiometry**: 0.207 eV per atom
&SYSTEM
  ibrav = 0, nat = 6, ntyp = 3
/
ATOMIC_SPECIES
Mo 95.94 Mo.upf
H 1.01 H.upf
Os 190.23 Os.upf
CELL_PARAMETERS angstrom
4.067 -0.004 0.002
0.004 4.044 -0.018
-0.003 0.006 4.072
ATOMIC_POSITIONS crystal
Mo 0.389 0.664 0.158
Mo 0.389 0.178 0.650
H 0.658 0.421 0.904
H 0.121 0.921 0.404
Os 0.909 0.660 0.657
Os 0.909 0.181 0.150


no.,magnetization (μB per atom)
1,0.0000
2,1.4105
3,0.0000
4,0.0000
5,0.0000
6,0.0000